Entry w
The following is a DFT calculation (SCAN) of a PBEsol-optimized structure of LiAl2.

## Properties
- space-group type = Cm

a b c (Å): 2.828 5.434 6.743
angles (deg): 104.38 90.00 105.08
Fractional positions:
Al 0.997 0.994 0.997
Al 0.666 0.333 0.331
Al 0.333 0.666 0.665
Al 0.391 0.782 0.281
Li 0.054 0.109 0.607
Li 0.725 0.450 0.952

***

Entry x
The following is a DFT calculation (SCAN) of a PBEsol-optimized structure of LiAl2.

## Properties
- space-group type = C2/m

a b c (Å): 2.864 5.454 6.689
angles (deg): 104.79 90.00 105.22
Fractional positions:
Al 0.970 0.939 0.695
Al 0.639 0.277 0.022
Al 0.361 0.723 0.978
Al 0.030 0.061 0.305
Li 0.305 0.609 0.357
Li 0.695 0.391 0.643

***

Most stable = entry w

***

Entry w
The following is a DFT calculation (SCAN) of a PBEsol-optimized structure of Y2ZnCr.

## Properties
- space-group type = P4/mmm

a b c (Å): 3.511 3.511 7.042
angles (deg): 90.00 90.00 90.00
Each line ends with the local moment (μB).
Fractional positions:
Cr 0.500 0.500 0.500  3.60
Y 0.000 0.000 0.748  -0.04
Y 0.000 0.000 0.252  -0.04
Zn 0.500 0.500 0.000  0.00

***

Entry x
The following is a DFT calculation (SCAN) of a PBEsol-optimized structure of Y2ZnCr.

## Properties
- space-group type = Fm-3m

a b c (Å): 4.971 4.971 4.971
angles (deg): 60.00 60.00 60.00
Each line ends with the local moment (μB).
Fractional positions:
Cr 0.500 0.500 0.500  3.72
Y 0.250 0.250 0.250  -0.06
Y 0.750 0.750 0.750  -0.06
Zn 0.000 0.000 0.000  -0.07

***

Most stable = entry x

***

Entry w
The following is a DFT calculation (SCAN) of a PBEsol-optimized structure of SrCaSb2.

## Properties
- space-group type = Cm

a b c (Å): 4.785 4.485 7.187
angles (deg): 108.18 118.86 90.00
Fractional positions:
Sb 0.909 0.025 0.050
Sb 0.844 0.225 0.451
Ca 0.364 0.752 0.504
Sr 0.382 0.497 0.994

***

Entry x
The following is a DFT calculation (SCAN) of a PBEsol-optimized structure of SrCaSb2.

## Properties
- space-group type = Pmmm

a b c (Å): 3.515 5.512 6.533
angles (deg): 90.00 90.00 90.00
Fractional positions:
Sb 0.000 0.000 0.875
Sb 0.500 0.500 0.375
Ca 0.500 0.500 0.875
Sr 0.000 0.000 0.375

***

Most stable = entry w

***

Entry w
The following is a DFT calculation (SCAN) of a PBEsol-optimized structure of ZnSi2Br.

## Properties
- space-group type = P4/mmm

a b c (Å): 3.560 3.560 6.309
angles (deg): 90.00 90.00 90.00
Fractional positions:
Br 0.000 0.000 0.500
Si 0.000 0.500 0.000
Si 0.500 0.000 0.000
Zn 0.500 0.500 0.500

***

Entry x
The following is a DFT calculation (SCAN) of a PBEsol-optimized structure of ZnSi2Br.

## Properties
- space-group type = R3m

a b c (Å): 3.737 3.737 6.927
angles (deg): 74.35 74.35 60.00
Fractional positions:
Br 0.762 0.762 0.715
Si 0.969 0.969 0.093
Si 0.258 0.258 0.225
Zn 0.511 0.511 0.467

***

Most stable = entry x

***

Entry w
The following is a DFT calculation (SCAN) of a PBEsol-optimized structure of Ta2SiTe.

## Properties
- space-group type = Fm-3m

a b c (Å): 4.613 4.613 4.613
angles (deg): 60.00 60.00 60.00
Fractional positions:
Si 0.500 0.500 0.500
Ta 0.250 0.250 0.250
Ta 0.750 0.750 0.750
Te 0.000 0.000 0.000

***

Entry x
The following is a DFT calculation (SCAN) of a PBEsol-optimized structure of Ta2SiTe.

## Properties
- space-group type = P4/mmm

a b c (Å): 3.246 3.246 6.625
angles (deg): 90.00 90.00 90.00
Fractional positions:
Si 0.500 0.500 0.500
Ta 0.000 0.000 0.720
Ta 0.000 0.000 0.280
Te 0.500 0.500 0.000

***

Most stable = entry x

***

Entry w
The following is a DFT calculation (SCAN) of a PBEsol-optimized structure of KAlTl2.

## Properties
- space-group type = C2/m

a b c (Å): 3.173 6.424 6.424
angles (deg): 115.42 101.21 101.21
Fractional positions:
Tl 0.000 0.500 0.000
Tl 0.000 0.000 0.500
K 0.500 0.500 0.500
Al 0.500 0.000 0.000

***

Entry x
The following is a DFT calculation (SCAN) of a PBEsol-optimized structure of KAlTl2.

## Properties
- space-group type = Pmm2

a b c (Å): 3.667 3.939 8.057
angles (deg): 90.00 90.00 90.00
Fractional positions:
Tl 0.000 0.000 0.045
Tl 0.500 0.500 0.280
K 0.500 0.500 0.740
Al 0.000 0.000 0.435

***

Most stable = entry x

***

Entry w
The following is a DFT calculation (SCAN) of a PBEsol-optimized structure of Li2NiRu.

## Properties
- space-group type = P4/mmm

a b c (Å): 2.432 4.349 4.349
angles (deg): 90.00 90.00 90.00
Each line ends with the local moment (μB).
Fractional positions:
Li 0.000 0.000 0.500  -0.01
Li 0.000 0.500 0.000  -0.01
Ni 0.500 0.500 0.500  0.90
Ru 0.500 0.000 0.000  0.14

***

Entry x
The following is a DFT calculation (SCAN) of a PBEsol-optimized structure of Li2NiRu.

## Properties
- space-group type = C2/m

a b c (Å): 2.462 4.465 5.031
angles (deg): 115.55 102.83 92.93
Each line ends with the local moment (μB).
Fractional positions:
Ru 0.000 0.500 0.000  0.30
Ni 0.500 0.000 0.000  0.53
Li 0.000 0.000 0.500  -0.01
Li 0.500 0.500 0.500  -0.01

***

Most stable = entry x

***

Entry w
The following is a DFT calculation (SCAN) of a PBEsol-optimized structure of CaTlCd2.

## Properties
- space-group type = R-3m

a b c (Å): 3.626 3.626 9.720
angles (deg): 79.25 79.25 60.00
Fractional positions:
Tl 0.500 0.500 0.500
Ca 0.000 0.000 0.000
Cd 0.247 0.247 0.258
Cd 0.753 0.753 0.742

***

Entry x
The following is a DFT calculation (SCAN) of a PBEsol-optimized structure of CaTlCd2.

## Properties
- space-group type = Cm

a b c (Å): 3.696 5.448 5.604
angles (deg): 107.06 90.00 109.83
Fractional positions:
Tl 0.488 0.976 0.494
Ca 0.250 0.501 0.744
Cd 0.012 0.025 0.033
Cd 0.749 0.498 0.229

***

Most stable = entry x